[1]
A relaxed structure of Pr5Tc2I2, computed with PBE.

```
Pr5Tc2I2
1.0
7.519 0.000 2.729
0.000 7.981 0.000
0.706 0.000 9.776
I Pr Tc
4 10 4
Cartesian
5.830 3.990 7.382
2.395 3.990 5.123
6.155 0.000 6.488
2.071 0.000 6.017
4.414 6.568 3.709
0.000 0.000 0.000
3.811 1.413 8.796
5.513 2.577 4.108
3.760 3.990 1.365
2.712 5.403 8.397
1.754 1.413 2.743
6.472 6.568 9.762
0.655 5.403 2.344
7.571 2.577 10.161
6.692 4.846 2.429
0.827 3.135 0.300
2.932 7.125 1.064
4.587 0.856 1.665
```

Calculated values
E_form (uncorrected): -0.341 eV per atom
Total moment: 0.00 μB per cell
Total DFT energy (no corrections): -101.60 eV/cell


[2]
A relaxed structure of TbTiRu2, computed with PBE.

```
TbTiRu2
1.0
3.209 0.000 0.000
0.000 3.209 0.000
0.000 0.000 6.663
Ru Tb Ti
2 1 1
Cartesian
0.000 0.000 5.204
0.000 0.000 1.459
1.605 1.605 3.332
1.605 1.605 0.000
```

Calculated values
Total moment: 0.00 μB per cell
Total DFT energy (no corrections): -32.95 eV/cell
E_form: -0.47 eV/atom


[3]
A relaxed structure of YTiBi2Te, computed with PBE.

```
YTiBi2Te
1.0
5.845 0.000 0.000
0.000 5.708 0.000
0.000 0.000 5.845
Bi Te Y Ti
2 1 1 1
Cartesian
2.923 0.000 0.000
0.000 0.000 2.923
0.000 2.854 0.000
0.000 0.000 0.000
2.923 2.854 2.923
```

Calculated values
E_form (uncorrected): 0.663 eV per atom
Total moment: 0.18 μB per cell
Total DFT energy (no corrections): -21.95 eV/cell


[4]
A relaxed structure of Sn2PdRh, computed with PBE.

```
Sn2PdRh
1.0
0.000 3.306 3.306
3.306 0.000 3.306
3.306 3.306 0.000
Sn Pd Rh
2 1 1
Cartesian
1.653 1.653 1.653
4.959 4.959 4.959
3.306 3.306 3.306
0.000 0.000 0.000
```

Calculated values
Total moment: 0.00 μB per cell
Total DFT energy (no corrections): -21.92 eV/cell
E_form: -0.34 eV/atom


[5]
A relaxed structure of CaSmSc2, computed with PBE.

```
CaSmSc2
1.0
-2.404 -4.511 2.087
-0.405 -4.578 -3.059
3.052 -4.430 1.243
Sc Sm Ca
2 1 1
Cartesian
0.182 -10.139 0.204
0.061 -3.380 0.068
0.122 -6.759 0.136
0.000 0.000 0.000
```

Calculated values
Total moment: 0.00 μB per cell
Total DFT energy (no corrections): -18.57 eV/cell
E_form: 0.20 eV/atom


[6]
A relaxed structure of KTaHgS4, computed with PBE.

```
KTaHgS4
1.0
-5.503 -0.143 -2.727
2.971 -4.054 -5.782
-0.014 -7.481 5.238
S Hg Ta K
8 2 2 2
Cartesian
0.315 -3.787 -4.797
1.252 -7.400 0.833
-3.799 -4.278 -4.105
-2.358 -6.244 -6.909
-0.267 -7.019 -2.830
-2.280 -4.659 -0.442
-0.188 -5.434 3.637
-2.861 -7.891 1.525
-0.837 -5.861 1.141
-1.709 -5.818 -4.413
-3.740 -6.415 0.039
1.193 -5.263 -3.311
-0.692 -1.786 -1.642
-1.855 -9.893 -1.631
```

Calculated values
E_form (uncorrected): -0.772 eV per atom
Total moment: 0.00 μB per cell
Total DFT energy (no corrections): -70.33 eV/cell


[7]
A relaxed structure of CsV3Pb, computed with PBE.

```
CsV3Pb
1.0
-1.368 0.890 -4.541
0.016 -4.734 -0.933
-4.627 -0.280 1.339
Pb V Cs
1 3 1
Cartesian
-2.989 -2.062 -2.067
0.008 -2.367 -0.466
-2.313 -0.140 0.670
-0.684 0.445 -2.270
0.000 0.000 0.000
```

Calculated values
Total moment: 0.01 μB per cell
Total DFT energy (no corrections): -19.87 eV/cell
E_form: 2.41 eV/atom


[8]
A relaxed structure of Pa2CuSi3Ir4, computed with PBE.

```
Pa2CuSi3Ir4
1.0
4.072 0.000 0.000
0.000 4.072 0.000
0.000 0.000 10.163
Ir Cu Si Pa
4 1 3 2
Cartesian
0.000 2.036 3.658
0.000 0.000 0.000
2.036 0.000 6.506
2.036 2.036 0.000
2.036 2.036 5.082
2.036 0.000 8.845
0.000 0.000 5.082
0.000 2.036 1.319
0.000 2.036 7.579
2.036 0.000 2.585
```

Calculated values
E_form (uncorrected): -0.858 eV per atom
Total moment: 0.00 μB per cell
Total DFT energy (no corrections): -83.38 eV/cell


[9]
A relaxed structure of Hf3NbHg, computed with PBE.

```
Hf3NbHg
1.0
-2.301 -0.006 4.533
-3.347 -3.427 -1.703
3.058 -3.755 1.547
Nb Hf Hg
1 3 1
Cartesian
0.000 0.000 0.000
1.529 -1.878 0.773
-1.150 -0.003 2.267
-1.673 -1.713 -0.852
-1.295 -3.594 2.188
```

Calculated values
Total moment: 0.00 μB per cell
Total DFT energy (no corrections): -35.30 eV/cell
E_form: 0.99 eV/atom


[10]
A relaxed structure of ErTmCdRh, computed with PBE.

```
ErTmCdRh
1.0
-1.665 1.053 2.855
1.648 -2.423 1.855
5.512 4.844 1.428
Rh Cd Er Tm
1 1 1 1
Cartesian
3.138 2.757 0.813
0.402 0.353 0.104
4.337 3.133 3.480
1.944 1.031 2.861
```

Calculated values
Total moment: 0.00 μB per cell
Total DFT energy (no corrections): -19.92 eV/cell
E_form: -0.65 eV/atom


[11]
A relaxed structure of Zn2AsRh, computed with PBE.

```
Zn2AsRh
1.0
4.758 -0.003 0.019
3.804 2.858 0.019
0.753 0.251 4.492
As Zn Rh
1 2 1
Cartesian
2.329 0.776 1.132
4.603 1.535 2.343
0.807 0.269 4.413
6.986 2.329 3.397
```

Calculated values
Total moment: 0.00 μB per cell
Total DFT energy (no corrections): -14.98 eV/cell
E_form: -0.11 eV/atom


[12]
A relaxed structure of Li3Zn, computed with PBE.

```
Li3Zn
1.0
-2.367 -3.891 1.874
4.676 -0.198 1.534
-0.689 1.526 2.297
Zn Li
1 3
Cartesian
0.000 0.000 0.000
1.993 0.664 1.916
-1.528 -1.183 2.086
1.155 -2.044 1.704
```

Calculated values
Total moment: 0.00 μB per cell
Total DFT energy (no corrections): -7.30 eV/cell
E_form: -0.07 eV/atom